GdHfPdPt PBE relaxed; symmetry = F-43m, No. 216; E_form = -0.827 eV/atom; total DFT energy (no corrections) = -38.575 eV/cell; total magnetization = 1.821 μB per atom
1.0
0.0000 3.4237 3.4237
3.4237 0.0000 3.4237
3.4237 3.4237 0.0000
Gd Hf Pd Pt
1 1 1 1
direct
0.0000 0.0000 0.0000
0.5000 0.5000 0.5000
0.2500 0.2500 0.2500
0.7500 0.7500 0.7500

---

PmGdHf PBE relaxed; symmetry = I4mm, No. 107; E_form = 0.146 eV/atom; total DFT energy (no corrections) = -28.348 eV/cell; total magnetization = 2.446 μB per atom; polymorph energy (0 for the lowest one) = 0.000 eV/atom
1.0
-1.6885 1.6885 7.6117
1.6885 -1.6885 7.6117
1.6885 1.6885 -7.6117
Pm Gd Hf
1 1 1
direct
0.0000 0.0000 0.0000
0.6927 0.6927 0.0000
0.3439 0.3439 0.0000

---

PmGd2Hf PBE relaxed; symmetry = R-3m, No. 166; E_form = 0.377 eV/atom; total DFT energy (no corrections) = -41.359 eV/cell; total magnetization = 3.780 μB per atom; polymorph energy (0 for the lowest one) = 0.263 eV/atom
1.0
1.6837 0.9721 12.1613
-1.6837 0.9721 12.1613
0.0000 -1.9441 12.1613
Pm Gd Hf
1 2 1
direct
0.0000 0.0000 0.0000
0.4154 0.4154 0.4154
0.5846 0.5846 0.5846
0.5000 0.5000 0.5000

---

> Among the records above, which one has the lowest E_form?

GdHfPdPt

---

> Among the records above, which one has the lowest total magnetization?

GdHfPdPt

---

> Look up the E_form of the first one.

-0.827 eV/atom